Run 1
CdIrW GGA-PBE relaxed; total magnetic moment = 0.00 μB per cell; SG = I4mm
1.0
6.458 0.002 0.000
5.176 3.861 0.000
-5.817 -1.931 2.034
W Cd Ir
1 1 1
Cartesian
7.940 2.636 0.000 W
11.601 3.852 0.000 Cd
3.728 1.238 0.000 Ir

Run 2
CdIrW GGA-PBE relaxed; total magnetic moment = 0.00 μB per cell; SG = Fmm2
1.0
7.628 0.003 -0.002
6.906 2.690 -0.005
0.722 -1.014 2.488
W Ir Cd
1 1 1
Cartesian
10.070 1.494 0.799 W
5.208 0.190 1.678 Ir
14.514 2.687 -0.004 Cd

run 1 is the most stable structure shown above.